Entry 1:
! NiIrBr4 (PBE, optimized geometry); values from VASP
! Formation energy (no corrections) in kJ/mol of formula units: 1020.3
! Crystal system: cubic
&SYSTEM
  ibrav = 0, nat = 6, ntyp = 3
/
ATOMIC_SPECIES
Ni 58.69 Ni.upf
Ir 192.22 Ir.upf
Br 79.90 Br.upf
ATOMIC_POSITIONS crystal
Ni 0.0000 0.0000 0.0000
Ir 0.2500 0.2500 0.2500
Br 0.1274 0.6242 0.6242
Br 0.6242 0.1274 0.6242
Br 0.6242 0.6242 0.1274
Br 0.6242 0.6242 0.6242
CELL_PARAMETERS angstrom
0.0000 4.2349 4.2349
4.2349 0.0000 4.2349
4.2349 4.2349 0.0000

=====

Entry 2:
! NiIrBr (PBE, optimized geometry); values from VASP
! Energy above the most stable polymorph in this dataset in meV/atom: 129
! Formation energy (no corrections) in kJ/mol of formula units: 228.9
! Crystal system: tetragonal
&SYSTEM
  ibrav = 0, nat = 3, ntyp = 3
/
ATOMIC_SPECIES
Ni 58.69 Ni.upf
Ir 192.22 Ir.upf
Br 79.90 Br.upf
ATOMIC_POSITIONS crystal
Ni 0.0000 0.0000 0.0000
Ir 0.3755 0.3755 0.0000
Br 0.6952 0.6952 0.0000
CELL_PARAMETERS angstrom
-1.4921 1.4921 5.6387
1.4921 -1.4921 5.6387
1.4921 1.4921 -5.6387

=====

Entry 3:
! NiIrBr (PBE, optimized geometry); values from VASP
! Energy above the most stable polymorph in this dataset in meV/atom: 468
! Formation energy (no corrections) in kJ/mol of formula units: 327.1
! Crystal system: cubic
&SYSTEM
  ibrav = 0, nat = 3, ntyp = 3
/
ATOMIC_SPECIES
Ni 58.69 Ni.upf
Ir 192.22 Ir.upf
Br 79.90 Br.upf
ATOMIC_POSITIONS crystal
Ni 0.0000 0.0000 0.0000
Ir 0.7500 0.7500 0.7500
Br 0.2500 0.2500 0.2500
CELL_PARAMETERS angstrom
0.0000 2.9865 2.9865
2.9865 0.0000 2.9865
2.9865 2.9865 0.0000

=====

Entry 4:
! NiIrBr2 (PBE, optimized geometry); values from VASP
! Energy above the most stable polymorph in this dataset in meV/atom: 665
! Formation energy (no corrections) in kJ/mol of formula units: 333.0
! Crystal system: orthorhombic
&SYSTEM
  ibrav = 0, nat = 4, ntyp = 3
/
ATOMIC_SPECIES
Ni 58.69 Ni.upf
Ir 192.22 Ir.upf
Br 79.90 Br.upf
ATOMIC_POSITIONS crystal
Ni 0.0000 0.0000 0.0000
Ir 0.5000 0.0000 0.5000
Br 0.0000 0.5000 0.5000
Br 0.5000 0.5000 0.0000
CELL_PARAMETERS angstrom
3.1026 0.0000 0.0000
0.0000 4.0548 0.0000
0.0000 0.0000 6.2635

=====

Entry 5:
! NiIrBr2 (PBE, optimized geometry); values from VASP
! Energy above the most stable polymorph in this dataset in meV/atom: 714
! Formation energy (no corrections) in kJ/mol of formula units: 351.9
! Crystal system: tetragonal
&SYSTEM
  ibrav = 0, nat = 4, ntyp = 3
/
ATOMIC_SPECIES
Ni 58.69 Ni.upf
Ir 192.22 Ir.upf
Br 79.90 Br.upf
ATOMIC_POSITIONS crystal
Ni 0.0000 0.0000 0.0000
Ir 0.7500 0.2500 0.5000
Br 0.2500 0.7500 0.5000
Br 0.5000 0.5000 0.0000
CELL_PARAMETERS angstrom
-1.7857 1.7857 6.5407
1.7857 -1.7857 6.5407
1.7857 1.7857 -6.5407

=====

Entry 6:
! Ni4IrBr (PBE, optimized geometry); values from VASP
! Formation energy (no corrections) in kJ/mol of formula units: 366.3
! Crystal system: cubic
&SYSTEM
  ibrav = 0, nat = 6, ntyp = 3
/
ATOMIC_SPECIES
Ni 58.69 Ni.upf
Ir 192.22 Ir.upf
Br 79.90 Br.upf
ATOMIC_POSITIONS crystal
Ni 0.1242 0.1242 0.1242
Ni 0.1242 0.1242 0.6273
Ni 0.1242 0.6273 0.1242
Ni 0.6273 0.1242 0.1242
Ir 0.7500 0.7500 0.7500
Br 0.5000 0.5000 0.5000
CELL_PARAMETERS angstrom
0.0000 3.4152 3.4152
3.4152 0.0000 3.4152
3.4152 3.4152 0.0000